(1)
# As3PbF PBE-GGA relaxed
data_As3PbF
_space_group_name_H-M_alt 'P m -3 m'
_space_group_IT_number 221
_space_group_name_Hall '-P 4 2 3'
_cell_length_a 4.7334
_cell_length_b 4.7334
_cell_length_c 4.7334
_cell_angle_alpha 90.00
_cell_angle_beta 90.00
_cell_angle_gamma 90.00
loop_
_atom_site_label
_atom_site_fract_x
_atom_site_fract_y
_atom_site_fract_z
As1 0.0000 0.0000 0.5000
Pb1 0.5000 0.5000 0.5000
F1 0.0000 0.0000 0.0000
# **Mass density**: 7.06 Mg/m³
# **DOS(E_F)**: 0.5435 states/eV per atom
# **Energy relative to the elements, uncorrected**: 130 meV/atom
# **Calculated total energy**: -3.775 eV per atom
# **Distance to the lowest polymorph of the same formula**: 0 kJ/mol of formula units



(2)
# As3PbF PBE-GGA relaxed
data_As3PbF
_space_group_name_H-M_alt 'P m -3 m'
_space_group_IT_number 221
_space_group_name_Hall '-P 4 2 3'
_cell_length_a 5.4367
_cell_length_b 5.4367
_cell_length_c 5.4367
_cell_angle_alpha 90.00
_cell_angle_beta 90.00
_cell_angle_gamma 90.00
loop_
_atom_site_label
_atom_site_fract_x
_atom_site_fract_y
_atom_site_fract_z
As1 0.0000 0.0000 0.5000
Pb1 0.0000 0.0000 0.0000
F1 0.5000 0.5000 0.5000
# **Mass density**: 4.66 Mg/m³
# **DOS(E_F)**: 0.9004 states/eV per atom
# **Energy relative to the elements, uncorrected**: 995 meV/atom
# **Calculated total energy**: -2.911 eV per atom
# **Distance to the lowest polymorph of the same formula**: 417 kJ/mol of formula units



(3)
# AsPb2F PBE-GGA relaxed
data_AsPb2F
_space_group_name_H-M_alt 'I -4 2 d'
_space_group_IT_number 122
_space_group_name_Hall 'I -4 2bw'
_cell_length_a 5.9883
_cell_length_b 5.9883
_cell_length_c 13.7242
_cell_angle_alpha 90.00
_cell_angle_beta 90.00
_cell_angle_gamma 90.00
loop_
_atom_site_label
_atom_site_fract_x
_atom_site_fract_y
_atom_site_fract_z
As1 0.0000 0.0000 0.0000
Pb1 0.1998 0.2500 0.6250
F1 0.0000 0.0000 0.5000
# **Mass density**: 6.86 Mg/m³
# **DOS(E_F)**: 0.0000 states/eV per atom
# **Energy relative to the elements, uncorrected**: -718 meV/atom
# **Calculated total energy**: -4.203 eV per atom
# **Distance to the lowest polymorph of the same formula**: 50 kJ/mol of formula units



(4)
# As2PbF2 PBE-GGA relaxed
data_As2PbF2
_space_group_name_H-M_alt 'I 4/m m m'
_space_group_IT_number 139
_space_group_name_Hall '-I 4 2'
_cell_length_a 3.4960
_cell_length_b 3.4960
_cell_length_c 18.5193
_cell_angle_alpha 90.00
_cell_angle_beta 90.00
_cell_angle_gamma 90.00
loop_
_atom_site_label
_atom_site_fract_x
_atom_site_fract_y
_atom_site_fract_z
As1 0.0000 0.5000 0.2500
Pb1 0.0000 0.0000 0.0000
F1 0.0000 0.0000 0.4342
# **Mass density**: 5.80 Mg/m³
# **DOS(E_F)**: 0.3185 states/eV per atom
# **Energy relative to the elements, uncorrected**: -927 meV/atom
# **Calculated total energy**: -4.277 eV per atom
# **Distance to the lowest polymorph of the same formula**: 0 kJ/mol of formula units



(5)
# AsPtPbF2 PBE-GGA relaxed
data_AsPtPbF2
_space_group_name_H-M_alt 'P 4/m m m'
_space_group_IT_number 123
_space_group_name_Hall '-P 4 2'
_cell_length_a 4.2614
_cell_length_b 4.2614
_cell_length_c 5.9448
_cell_angle_alpha 90.00
_cell_angle_beta 90.00
_cell_angle_gamma 90.00
loop_
_atom_site_label
_atom_site_fract_x
_atom_site_fract_y
_atom_site_fract_z
As1 0.0000 0.0000 0.0000
Pt1 0.5000 0.5000 0.0000
Pb1 0.0000 0.0000 0.5000
F1 0.0000 0.5000 0.5000
# **Mass density**: 7.92 Mg/m³
# **DOS(E_F)**: 0.5163 states/eV per atom
# **Energy relative to the elements, uncorrected**: -536 meV/atom
# **Calculated total energy**: -4.164 eV per atom
# **Distance to the lowest polymorph of the same formula**: 109 kJ/mol of formula units



(6)
# AsPtPbF2 PBE-GGA relaxed
data_AsPtPbF2
_space_group_name_H-M_alt 'P 4/m m m'
_space_group_IT_number 123
_space_group_name_Hall '-P 4 2'
_cell_length_a 3.9989
_cell_length_b 3.9989
_cell_length_c 6.2486
_cell_angle_alpha 90.00
_cell_angle_beta 90.00
_cell_angle_gamma 90.00
loop_
_atom_site_label
_atom_site_fract_x
_atom_site_fract_y
_atom_site_fract_z
As1 0.0000 0.0000 0.0000
Pt1 0.5000 0.5000 0.5000
Pb1 0.0000 0.0000 0.5000
F1 0.0000 0.5000 0.0000
# **Mass density**: 8.56 Mg/m³
# **DOS(E_F)**: 0.2788 states/eV per atom
# **Energy relative to the elements, uncorrected**: -763 meV/atom
# **Calculated total energy**: -4.391 eV per atom
# **Distance to the lowest polymorph of the same formula**: 0 kJ/mol of formula units



(7)
# RbAsPbF6 PBE-GGA relaxed
data_RbAsPbF6
_space_group_name_H-M_alt 'P 3'
_space_group_IT_number 143
_space_group_name_Hall 'P 3'
_cell_length_a 6.5735
_cell_length_b 6.5735
_cell_length_c 4.4962
_cell_angle_alpha 90.00
_cell_angle_beta 90.00
_cell_angle_gamma 120.00
loop_
_atom_site_label
_atom_site_fract_x
_atom_site_fract_y
_atom_site_fract_z
Rb1 0.0000 0.0000 0.0000
As1 0.6667 0.3333 0.3873
Pb1 0.3333 0.6667 0.5370
F1 0.0506 0.6344 0.2187
F2 0.4166 0.1350 0.6289
# **Mass density**: 4.75 Mg/m³
# **DOS(E_F)**: 0.0000 states/eV per atom
# **Energy relative to the elements, uncorrected**: -2367 meV/atom
# **Calculated total energy**: -4.651 eV per atom



(8)
# AsPbSe2F PBE-GGA relaxed
data_AsPbSe2F
_space_group_name_H-M_alt 'P 4/m m m'
_space_group_IT_number 123
_space_group_name_Hall '-P 4 2'
_cell_length_a 5.3460
_cell_length_b 5.3460
_cell_length_c 5.5074
_cell_angle_alpha 90.00
_cell_angle_beta 90.00
_cell_angle_gamma 90.00
loop_
_atom_site_label
_atom_site_fract_x
_atom_site_fract_y
_atom_site_fract_z
As1 0.0000 0.0000 0.0000
Pb1 0.0000 0.0000 0.5000
Se1 0.0000 0.5000 0.5000
F1 0.5000 0.5000 0.0000
# **Mass density**: 4.84 Mg/m³
# **DOS(E_F)**: 2.1510 states/eV per atom
# **Energy relative to the elements, uncorrected**: 708 meV/atom
# **Calculated total energy**: -2.731 eV per atom
# **Distance to the lowest polymorph of the same formula**: 324 kJ/mol of formula units



(9)
# AsPbSe2F PBE-GGA relaxed
data_AsPbSe2F
_space_group_name_H-M_alt 'P 4/m m m'
_space_group_IT_number 123
_space_group_name_Hall '-P 4 2'
_cell_length_a 5.7238
_cell_length_b 5.7238
_cell_length_c 4.1205
_cell_angle_alpha 90.00
_cell_angle_beta 90.00
_cell_angle_gamma 90.00
loop_
_atom_site_label
_atom_site_fract_x
_atom_site_fract_y
_atom_site_fract_z
As1 0.0000 0.0000 0.0000
Pb1 0.5000 0.5000 0.0000
Se1 0.0000 0.5000 0.5000
F1 0.0000 0.0000 0.5000
# **Mass density**: 5.65 Mg/m³
# **DOS(E_F)**: 0.8127 states/eV per atom
# **Energy relative to the elements, uncorrected**: 36 meV/atom
# **Calculated total energy**: -3.404 eV per atom
# **Distance to the lowest polymorph of the same formula**: 0 kJ/mol of formula units



(10)
# SrAsPbF2 PBE-GGA relaxed
data_SrAsPbF2
_space_group_name_H-M_alt 'P 4/m m m'
_space_group_IT_number 123
_space_group_name_Hall '-P 4 2'
_cell_length_a 4.5127
_cell_length_b 4.5127
_cell_length_c 6.7334
_cell_angle_alpha 90.00
_cell_angle_beta 90.00
_cell_angle_gamma 90.00
loop_
_atom_site_label
_atom_site_fract_x
_atom_site_fract_y
_atom_site_fract_z
Sr1 0.0000 0.0000 0.0000
As1 0.0000 0.0000 0.5000
Pb1 0.5000 0.5000 0.5000
F1 0.0000 0.5000 0.0000
# **Mass density**: 4.94 Mg/m³
# **DOS(E_F)**: 0.6527 states/eV per atom
# **Energy relative to the elements, uncorrected**: -1843 meV/atom
# **Calculated total energy**: -4.600 eV per atom



(11)
# TiAsPbF2 PBE-GGA relaxed
data_TiAsPbF2
_space_group_name_H-M_alt 'P 4/m m m'
_space_group_IT_number 123
_space_group_name_Hall '-P 4 2'
_cell_length_a 4.1629
_cell_length_b 4.1629
_cell_length_c 5.3273
_cell_angle_alpha 90.00
_cell_angle_beta 90.00
_cell_angle_gamma 90.00
loop_
_atom_site_label
_atom_site_fract_x
_atom_site_fract_y
_atom_site_fract_z
Ti1 0.0000 0.0000 0.0000
As1 0.0000 0.0000 0.5000
Pb1 0.5000 0.5000 0.5000
F1 0.0000 0.5000 0.0000
# **Mass density**: 6.62 Mg/m³
# **DOS(E_F)**: 0.7825 states/eV per atom
# **Energy relative to the elements, uncorrected**: -1660 meV/atom
# **Calculated total energy**: -5.659 eV per atom



(12)
# As3PdF PBE-GGA relaxed
data_As3PdF
_space_group_name_H-M_alt 'P m -3 m'
_space_group_IT_number 221
_space_group_name_Hall '-P 4 2 3'
_cell_length_a 4.5040
_cell_length_b 4.5040
_cell_length_c 4.5040
_cell_angle_alpha 90.00
_cell_angle_beta 90.00
_cell_angle_gamma 90.00
loop_
_atom_site_label
_atom_site_fract_x
_atom_site_fract_y
_atom_site_fract_z
As1 0.0000 0.0000 0.5000
Pd1 0.5000 0.5000 0.5000
F1 0.0000 0.0000 0.0000
# **Mass density**: 6.36 Mg/m³
# **DOS(E_F)**: 0.5816 states/eV per atom
# **Energy relative to the elements, uncorrected**: 331 meV/atom
# **Calculated total energy**: -3.872 eV per atom
# **Distance to the lowest polymorph of the same formula**: 0 kJ/mol of formula units